(1)
ZrInAu | PBE | relaxed

Values from the calculation:
ΔH_f (0 K) in eV/atom: -0.342
Symmetry: Cm, No. 8

a b c (Å): 10.836 4.501 6.141
angles (deg): 90.00 122.09 90.00
Positions (direct):
Zr (0.000, 0.000, 0.000)
Zr (0.148, 0.500, 0.810)
Zr (0.500, 0.500, 0.000)
Zr (0.648, 0.000, 0.810)
In (0.210, 0.500, 0.369)
In (0.344, 0.000, 0.184)
In (0.710, 0.000, 0.369)
In (0.844, 0.500, 0.184)
Au (0.008, 0.000, 0.482)
Au (0.328, 0.000, 0.702)
Au (0.508, 0.500, 0.482)
Au (0.828, 0.500, 0.702)

---

(2)
Zr2InAu2 | PBE | relaxed

Values from the calculation:
ΔH_f (0 K) in eV/atom: -0.470
Relative energy among the computed polymorphs in eV/f.u.: 0.23
Symmetry: P4/mbm, No. 127

a b c (Å): 7.614 7.614 3.629
angles (deg): 90.00 90.00 90.00
Positions (direct):
Zr (0.172, 0.328, 0.000)
Zr (0.328, 0.828, 0.000)
Zr (0.672, 0.172, 0.000)
Zr (0.828, 0.672, 0.000)
In (0.000, 0.000, 0.500)
In (0.500, 0.500, 0.500)
Au (0.128, 0.628, 0.500)
Au (0.372, 0.128, 0.500)
Au (0.628, 0.872, 0.500)
Au (0.872, 0.372, 0.500)

---

(3)
Zr2InAu6 | PBE | relaxed

Values from the calculation:
ΔH_f (0 K) in eV/atom: -0.427
Symmetry: C2/m, No. 12

a b c (Å): 8.136 8.136 5.049
angles (deg): 98.89 98.89 143.33
Positions (direct):
Zr (0.162, 0.838, 0.000)
Zr (0.838, 0.162, 0.000)
In (0.000, 0.000, 0.500)
Au (0.169, 0.506, 0.671)
Au (0.337, 0.337, 0.172)
Au (0.494, 0.831, 0.329)
Au (0.506, 0.169, 0.671)
Au (0.663, 0.663, 0.828)
Au (0.831, 0.494, 0.329)

---

(4)
ZrInAu2 | PBE | relaxed

Values from the calculation:
ΔH_f (0 K) in eV/atom: -0.272
Symmetry: Imm2, No. 44

a b c (Å): 3.464 4.901 9.548
angles (deg): 90.00 90.00 90.00
Positions (direct):
Zr (0.000, 0.000, 0.000)
Zr (0.500, 0.500, 0.500)
In (0.000, 0.500, 0.237)
In (0.500, 0.000, 0.737)
Au (0.000, 0.000, 0.500)
Au (0.000, 0.500, 0.755)
Au (0.500, 0.000, 0.255)
Au (0.500, 0.500, 0.000)

---

> Which formula does entry 2 have?

Zr2InAu2